A plane-wave DFT calculation with PBE was carried out for Rb4U3PtS8 after structural relaxation.

```
data_Rb4U3PtS8
_space_group_name_H-M_alt 'C 1 2/m 1'
_space_group_IT_number 12
_space_group_name_Hall '-C 2y'
_cell_length_a 14.511
_cell_length_b 7.729
_cell_length_c 9.012
_cell_angle_alpha 90.00
_cell_angle_beta 120.03
_cell_angle_gamma 90.00
loop_
_atom_site_label
_atom_site_type_symbol
_atom_site_fract_x
_atom_site_fract_y
_atom_site_fract_z
Rb1 Rb 0.000 0.000 0.000
Rb2 Rb 0.000 0.500 0.000
Rb3 Rb 0.250 0.250 0.000
U1 U 0.000 0.000 0.500
U2 U 0.250 0.250 0.500
Pt1 Pt 0.000 0.500 0.500
S1 S 0.026 0.274 0.328
S2 S 0.223 0.000 0.694
S3 S 0.232 0.000 0.280
```

Values from the calculation:
**V**: 875 Å³ per cell
**Energy**: -5.96 eV/atom